Record 1
Material: GdCdHg2
Method: DFT, GGA-PBE
State: relaxed

```
GdCdHg2
1.0
3.6015 0.0000 0.0000
0.0000 3.6015 0.0000
0.0000 0.0000 7.5419
Gd Cd Hg
1 1 2
direct
0.0000 0.0000 0.0000
0.0000 0.0000 0.5000
0.5000 0.5000 0.2597
0.5000 0.5000 0.7403
```

Computed properties:
The value obtained for the raw total energy is -16.77 eV for the cell shown. Its excess energy over the best structure of this formula in the dataset is 8.95 kJ per mole of atoms. The symmetry is P4/mmm (123). Its crystal system is tetragonal. For the calculated density, the calculation gives 11.4 g/cm3.

Record 2
Material: Pm12Al3Hg
Method: DFT, GGA-PBE
State: relaxed

```
Pm12Al3Hg
1.0
4.8753 0.0000 0.0000
0.0000 4.8753 0.0000
0.0000 0.0000 19.5132
Pm Al Hg
12 3 1
direct
0.0000 0.0000 0.0000
0.0000 0.0000 0.2494
0.0000 0.0000 0.5000
0.0000 0.0000 0.7506
0.0000 0.5000 0.1247
0.0000 0.5000 0.3718
0.0000 0.5000 0.6282
0.0000 0.5000 0.8753
0.5000 0.0000 0.1247
0.5000 0.0000 0.3718
0.5000 0.0000 0.6282
0.5000 0.0000 0.8753
0.5000 0.5000 0.0000
0.5000 0.5000 0.2494
0.5000 0.5000 0.7506
0.5000 0.5000 0.5000
```

Computed properties:
The value obtained for the raw total energy is -71.32 eV for the cell shown. The symmetry is P4/mmm (123). Its crystal system is tetragonal. For the calculated density, the calculation gives 7.2 g/cm3.

Record 3
Material: HgAs5
Method: DFT, GGA-PBE
State: relaxed

```
HgAs5
1.0
0.0000 4.0005 4.0005
4.0005 0.0000 4.0005
4.0005 4.0005 0.0000
Hg As
1 5
direct
0.0000 0.0000 0.0000
0.3782 0.3782 0.3782
0.3782 0.3782 0.8655
0.3782 0.8655 0.3782
0.7500 0.7500 0.7500
0.8655 0.3782 0.3782
```

Computed properties:
The value obtained for the raw total energy is -20.33 eV for the cell shown. Its excess energy over the best structure of this formula in the dataset is 32.70 kJ per mole of atoms. The symmetry is F-43m (216). Its crystal system is cubic. For the calculated density, the calculation gives 7.5 g/cm3.

Record 4
Material: ZnReAs2
Method: DFT, GGA-PBE
State: relaxed

```
ZnReAs2
1.0
1.6072 0.9279 7.7502
-1.6072 0.9279 7.7502
0.0000 -1.8559 7.7502
Zn Re As
1 1 2
direct
0.0000 0.0000 0.0000
0.5000 0.5000 0.5000
0.2424 0.2424 0.2424
0.7576 0.7576 0.7576
```

Computed properties:
The value obtained for the raw total energy is -22.45 eV for the cell shown. The symmetry is R-3m (166). Its crystal system is trigonal. For the calculated density, the calculation gives 9.6 g/cm3.

Record 5
Material: Na2V2Ag
Method: DFT, GGA-PBE
State: relaxed

```
Na2V2Ag
1.0
-1.9644 1.9644 6.8582
1.9644 -1.9644 6.8582
1.9644 1.9644 -6.8582
Na V Ag
2 2 1
direct
0.2500 0.7500 0.5000
0.7500 0.2500 0.5000
0.0662 0.0662 0.0000
0.9338 0.9338 0.0000
0.5000 0.5000 0.0000
```

Computed properties:
The value obtained for the raw total energy is -19.74 eV for the cell shown. Its excess energy over the best structure of this formula in the dataset is 0.00 kJ per mole of atoms. The symmetry is I4/mmm (139). Its crystal system is tetragonal. For the calculated density, the calculation gives 4.0 g/cm3.

Record 6
Material: Si12Os5W3
Method: DFT, GGA-PBE
State: relaxed

```
Si12Os5W3
1.0
-7.0538 7.0538 7.0538
7.0538 -7.0538 7.0538
7.0538 7.0538 -7.0538
Si Os W
48 20 12
direct
0.0614 0.2310 0.1381
0.0614 0.3304 0.9233
0.0767 0.6381 0.4071
0.0767 0.9386 0.6696
0.0929 0.7310 0.6696
0.0929 0.8619 0.4233
0.1381 0.0614 0.2310
0.1381 0.5767 0.9071
0.1696 0.2310 0.5929
0.1696 0.4386 0.5767
0.2310 0.1381 0.0614
0.2310 0.5929 0.1696
0.2690 0.3304 0.9071
0.2690 0.4386 0.3619
0.3304 0.9071 0.2690
0.3304 0.9233 0.0614
0.3619 0.2690 0.4386
0.3619 0.5929 0.9233
0.4071 0.0767 0.6381
0.4071 0.8304 0.7690
0.4233 0.0929 0.8619
0.4233 0.8304 0.5614
0.4386 0.3619 0.2690
0.4386 0.5767 0.1696
0.5614 0.4233 0.8304
0.5614 0.6381 0.7310
0.5767 0.1696 0.4386
0.5767 0.9071 0.1381
0.5929 0.1696 0.2310
0.5929 0.9233 0.3619
0.6381 0.4071 0.0767
0.6381 0.7310 0.5614
0.6696 0.0767 0.9386
0.6696 0.0929 0.7310
0.7310 0.5614 0.6381
0.7310 0.6696 0.0929
0.7690 0.4071 0.8304
0.7690 0.8619 0.9386
0.8304 0.5614 0.4233
0.8304 0.7690 0.4071
0.8619 0.4233 0.0929
0.8619 0.9386 0.7690
0.9071 0.1381 0.5767
0.9071 0.2690 0.3304
0.9233 0.0614 0.3304
0.9233 0.3619 0.5929
0.9386 0.6696 0.0767
0.9386 0.7690 0.8619
0.0000 0.0000 0.0000
0.0000 0.0000 0.5000
0.0000 0.5000 0.0000
0.0000 0.5000 0.5000
0.1250 0.7500 0.8750
0.1250 0.8750 0.2500
0.2500 0.1250 0.8750
0.2500 0.6250 0.3750
0.3750 0.2500 0.6250
0.3750 0.6250 0.7500
0.5000 0.0000 0.0000
0.5000 0.0000 0.5000
0.5000 0.5000 0.0000
0.5000 0.5000 0.5000
0.6250 0.3750 0.2500
0.6250 0.7500 0.3750
0.7500 0.3750 0.6250
0.7500 0.8750 0.1250
0.8750 0.1250 0.7500
0.8750 0.2500 0.1250
0.1250 0.2500 0.3750
0.1250 0.3750 0.7500
0.2500 0.3750 0.1250
0.2500 0.8750 0.6250
0.3750 0.1250 0.2500
0.3750 0.7500 0.1250
0.6250 0.2500 0.8750
0.6250 0.8750 0.7500
0.7500 0.1250 0.3750
0.7500 0.6250 0.8750
0.8750 0.6250 0.2500
0.8750 0.7500 0.6250
```

Computed properties:
The formation energy (no corrections) is 8.37 eV per formula unit. The value obtained for the raw total energy is -606.85 eV for the cell shown. The symmetry is Ia-3d (230). Its crystal system is cubic. For the calculated density, the calculation gives 8.7 g/cm3.

Record 7
Material: Ac2TmLu
Method: DFT, GGA-PBE
State: relaxed

```
Ac2TmLu
1.0
5.5468 0.0000 0.0000
0.0000 5.5468 0.0000
0.0000 0.0000 4.7635
Ac Tm Lu
2 1 1
direct
0.0000 0.5000 0.0000
0.5000 0.0000 0.0000
0.0000 0.0000 0.5000
0.5000 0.5000 0.5000
```

Computed properties:
The value obtained for the raw total energy is -16.96 eV for the cell shown. Its excess energy over the best structure of this formula in the dataset is 0.09 kJ per mole of atoms. The symmetry is P4/mmm (123). Its crystal system is tetragonal. For the calculated density, the calculation gives 9.0 g/cm3.

Record 8
Material: SrZrRh2
Method: DFT, GGA-PBE
State: relaxed

```
SrZrRh2
1.0
-3.7237 3.7237 3.2623
3.7237 -3.7237 3.2623
3.7237 3.7237 -3.2623
Sr Zr Rh
2 2 4
direct
0.0000 0.0000 0.0000
0.7500 0.2500 0.5000
0.2500 0.7500 0.5000
0.5000 0.5000 0.0000
0.1659 0.6250 0.0409
0.3750 0.4159 0.5409
0.5841 0.1250 0.9591
0.8750 0.8341 0.4591
```

Computed properties:
The value obtained for the raw total energy is -50.77 eV for the cell shown. The symmetry is I-42d (122). Its crystal system is tetragonal. For the calculated density, the calculation gives 7.1 g/cm3.